A plane-wave DFT calculation with PBE with a Hubbard U was carried out for crystalline CsSmFeF6 at its relaxed geometry.

M_tot   4.00 μB per formula unit
E   -51.577 eV per cell
V   21.67 Å³/atom

abc: 5.9096 5.9096 6.3758
angles: 90.17 90.17 118.86
Positions (direct):
Cs  0.0000  0.0000  0.0000
Sm  0.6667  0.3333  0.5000
Fe  0.3296  0.6704  0.5000
F  0.0154  0.6132  0.3121
F  0.0157  0.3973  0.6887
F  0.3724  0.3946  0.3167
F  0.3868  0.9846  0.6879
F  0.6027  0.9843  0.3113
F  0.6054  0.6276  0.6833